Ca2Ge4Pd3 after structural relaxation. Source: Alexandria, functional GGA-PBE.

Cell: 8.010 6.850 5.739 Å, 78.49 56.92 44.59°
Sites, in units of the cell vectors:
Ca: 0.137 0.137 0.863
Ca: 0.863 0.863 0.137
Ge: 0.166 0.512 0.488
Ge: 0.488 0.834 0.166
Ge: 0.512 0.166 0.834
Ge: 0.834 0.488 0.512
Pd: 0.000 0.000 0.500
Pd: 0.500 0.500 0.000
Pd: 0.500 0.500 0.500

- Energy above the lowest structure with this stoichiometry: 0.0430 eV per atom
- SG: Fmmm (69)
- ΔE_f: -54.68 kJ/mol of atoms
- Calculated total energy: -4.795 eV per atom